{
  "formula": "LaDyGa2",
  "functional": "PBE-GGA",
  "state": "optimized geometry",
  "lattice_angstrom": [[-3.110, 1.313, 1.425], [-0.040, -2.737, 2.436], [3.886, 4.116, 4.689]],
  "species": ["Ga", "Ga", "La", "Dy"],
  "fractional_positions": [[0.000, 0.000, 0.773], [0.000, 0.000, 0.227], [0.500, 0.500, 0.500], [0.500, 0.500, 0.000]],
  "space_group": "P4/mmm",
  "dos_at_fermi_per_ev_cell": 2.0,
  "density_g_cm3": 7.42,
  "delta_e_f_ev_per_atom": -0.5869,
  "de_polymorph_mev_per_atom": 9
}

***

{
  "formula": "LiSiIO2",
  "functional": "PBE-GGA",
  "state": "optimized geometry",
  "lattice_angstrom": [[-3.441, 0.768, 0.094], [-0.041, -0.612, 3.474], [1.347, 5.907, 1.056]],
  "species": ["Li", "O", "O", "I", "Si"],
  "fractional_positions": [[0.500, 0.500, 0.500], [0.000, 0.500, 0.000], [0.500, 0.000, 0.000], [0.000, 0.000, 0.500], [0.000, 0.000, 0.000]],
  "e_form_raw_ev_per_atom": -1.2654,
  "space_group": "P4/mmm",
  "dos_at_fermi_per_ev_cell": 0.8,
  "density_g_cm3": 4.21,
  "de_polymorph_mev_per_atom": 0
}

***

{
  "formula": "V2CuGe2",
  "functional": "PBE-GGA",
  "state": "optimized geometry",
  "lattice_angstrom": [[-2.957, -0.243, -6.081], [5.782, -2.222, -2.722], [-0.915, -3.078, 0.568]],
  "species": ["Ge", "Ge", "Ge", "Ge", "V", "V", "V", "V", "Cu", "Cu"],
  "fractional_positions": [[0.325, 0.175, 0.500], [0.675, 0.825, 0.500], [0.825, 0.325, 0.500], [0.175, 0.675, 0.500], [0.623, 0.123, 0.000], [0.123, 0.377, 0.000], [0.377, 0.877, 0.000], [0.877, 0.623, 0.000], [0.500, 0.500, 0.000], [0.000, 0.000, 0.000]],
  "space_group": "P4/mbm",
  "dos_at_fermi_per_ev_cell": 7.8,
  "density_g_cm3": 6.91,
  "delta_e_f_ev_per_atom": 0.0604,
  "de_polymorph_mev_per_atom": 95
}

***

{
  "formula": "VSbS2N",
  "functional": "PBE-GGA",
  "state": "optimized geometry",
  "lattice_angstrom": [[5.028, 0.000, 0.000], [0.000, 5.028, 0.000], [0.000, 0.000, 3.861]],
  "species": ["Sb", "S", "S", "N", "V"],
  "fractional_positions": [[0.000, 0.000, 0.000], [0.000, 0.500, 0.000], [0.500, 0.000, 0.000], [0.000, 0.000, 0.500], [0.500, 0.500, 0.500]],
  "e_form_raw_ev_per_atom": 1.1172,
  "space_group": "P4/mmm",
  "dos_at_fermi_per_ev_cell": 6.9,
  "density_g_cm3": 4.27,
  "de_polymorph_mev_per_atom": 1164
}

***

{
  "formula": "Ta2TiInN",
  "functional": "PBE-GGA",
  "state": "optimized geometry",
  "lattice_angstrom": [[-2.062, -3.374, -1.444], [1.495, 0.741, -3.865], [3.572, -2.564, 0.890]],
  "species": ["N", "Ta", "Ta", "Ti", "In"],
  "fractional_positions": [[0.000, 0.000, 0.000], [0.000, 0.500, 0.000], [0.500, 0.000, 0.000], [0.000, 0.000, 0.500], [0.500, 0.500, 0.500]],
  "e_form_raw_ev_per_atom": -0.4375,
  "space_group": "P4/mmm",
  "dos_at_fermi_per_ev_cell": 5.0,
  "density_g_cm3": 11.25
}

***

{
  "formula": "TmZnTc",
  "functional": "PBE-GGA",
  "state": "optimized geometry",
  "lattice_angstrom": [[-1.140, -3.719, -2.038], [3.523, -2.685, 2.928], [-6.991, -1.642, 6.905]],
  "species": ["Zn", "Zn", "Zn", "Zn", "Tc", "Tc", "Tc", "Tc", "Tm", "Tm", "Tm", "Tm"],
  "fractional_positions": [[0.750, 0.587, 0.550], [0.750, 0.913, 0.050], [0.250, 0.413, 0.450], [0.250, 0.087, 0.950], [0.750, 0.095, 0.477], [0.750, 0.405, 0.977], [0.250, 0.595, 0.023], [0.250, 0.905, 0.523], [0.250, 0.481, 0.741], [0.750, 0.981, 0.759], [0.750, 0.519, 0.259], [0.250, 0.019, 0.241]],
  "space_group": "Pnma",
  "dos_at_fermi_per_ev_cell": 5.8,
  "density_g_cm3": 9.50,
  "delta_e_f_ev_per_atom": -0.1591,
  "de_polymorph_mev_per_atom": 139
}

***

{
  "formula": "K3Pt",
  "functional": "PBE-GGA",
  "state": "optimized geometry",
  "lattice_angstrom": [[14.917, 0.000, -0.229], [0.000, 4.664, 0.000], [-22.322, 0.000, 3.492]],
  "species": ["Pt", "K", "K", "K"],
  "fractional_positions": [[0.250, 0.500, 0.000], [0.750, 0.500, 0.000], [0.112, 0.000, 0.002], [0.388, 0.000, 0.998]],
  "space_group": "P2/m",
  "dos_at_fermi_per_ev_cell": 2.7,
  "density_g_cm3": 2.37,
  "delta_e_f_ev_per_atom": 0.0836
}

***

{
  "formula": "KTe2Se4",
  "functional": "PBE-GGA",
  "state": "optimized geometry",
  "lattice_angstrom": [[-3.550, 1.367, -7.350], [-6.604, -3.638, 3.417], [2.989, 7.925, 3.442]],
  "species": ["K", "K", "Se", "Se", "Se", "Se", "Se", "Se", "Se", "Se", "Te", "Te", "Te", "Te"],
  "fractional_positions": [[0.109, 0.109, 0.000], [0.191, 0.691, 0.500], [0.929, 0.182, 0.302], [0.336, 0.154, 0.755], [0.407, 0.697, 0.870], [0.880, 0.627, 0.698], [0.419, 0.113, 0.334], [0.778, 0.084, 0.666], [0.398, 0.581, 0.244], [0.827, 0.537, 0.130], [0.586, 0.852, 0.267], [0.101, 0.451, 0.748], [0.585, 0.319, 0.733], [0.703, 0.353, 0.252]],
  "e_form_raw_ev_per_atom": -0.2565,
  "space_group": "C2",
  "density_g_cm3": 4.13,
  "de_polymorph_mev_per_atom": 0
}